1.
NdAgGe | PBE | optimized geometry

POSCAR file:
```
NdAgGe
1.0
7.347 0.000 0.000
0.000 4.391 0.000
-0.143 0.000 12.550
Nd Ag Ge
6 6 6
direct
0.023 0.250 0.125
0.164 0.250 0.420
0.476 0.750 0.795
0.524 0.250 0.205
0.836 0.750 0.580
0.977 0.750 0.875
0.142 0.250 0.704
0.352 0.750 0.041
0.498 0.750 0.411
0.502 0.250 0.589
0.648 0.250 0.959
0.858 0.750 0.296
0.235 0.750 0.250
0.250 0.750 0.588
0.259 0.250 0.921
0.741 0.750 0.079
0.750 0.250 0.412
0.765 0.250 0.750
```

SG: No. 11
density of states at the Fermi level: 0.183 states/eV per atom
formation energy from the elements: -0.623 eV/atom
calculated total energy: -4.702 eV/atom

---

2.
Nd8AgGe5 | PBE | optimized geometry

POSCAR file:
```
Nd8AgGe5
1.0
-4.588 4.588 4.614
4.588 -4.588 4.614
4.588 4.588 -4.614
Nd Ag Ge
8 1 5
direct
0.132 0.243 0.758
0.137 0.753 0.760
0.247 0.007 0.385
0.485 0.374 0.242
0.622 0.863 0.615
0.626 0.868 0.111
0.757 0.515 0.889
0.993 0.378 0.240
0.750 0.250 0.500
0.000 0.000 0.000
0.251 0.630 0.124
0.370 0.495 0.622
0.505 0.127 0.876
0.873 0.749 0.378
```

SG: No. 82
density of states at the Fermi level: 0.714 states/eV per atom
formation energy from the elements: -0.685 eV/atom
calculated total energy: -5.262 eV/atom

---

3.
Nd6AgGe3 | PBE | optimized geometry

POSCAR file:
```
Nd6AgGe3
1.0
7.211 0.000 0.000
0.000 8.193 0.000
-6.752 0.000 10.264
Nd Ag Ge
12 2 6
direct
0.053 0.079 0.246
0.053 0.421 0.746
0.220 0.681 0.072
0.220 0.819 0.572
0.403 0.173 0.071
0.403 0.327 0.571
0.597 0.673 0.429
0.597 0.827 0.929
0.780 0.181 0.428
0.780 0.319 0.928
0.947 0.579 0.254
0.947 0.921 0.754
0.500 0.000 0.500
0.500 0.500 0.000
0.000 0.000 0.000
0.000 0.500 0.500
0.315 0.118 0.759
0.315 0.382 0.259
0.685 0.618 0.741
0.685 0.882 0.241
```

SG: No. 14
density of states at the Fermi level: 1.004 states/eV per atom
formation energy from the elements: -0.454 eV/atom
calculated total energy: -4.985 eV/atom

---

- Look up the calculated total energy of the first one.
  -4.702 eV/atom

---

Copy entry 2 word for word.
Nd8AgGe5 | PBE | optimized geometry

POSCAR file:
```
Nd8AgGe5
1.0
-4.588 4.588 4.614
4.588 -4.588 4.614
4.588 4.588 -4.614
Nd Ag Ge
8 1 5
direct
0.132 0.243 0.758
0.137 0.753 0.760
0.247 0.007 0.385
0.485 0.374 0.242
0.622 0.863 0.615
0.626 0.868 0.111
0.757 0.515 0.889
0.993 0.378 0.240
0.750 0.250 0.500
0.000 0.000 0.000
0.251 0.630 0.124
0.370 0.495 0.622
0.505 0.127 0.876
0.873 0.749 0.378
```

SG: No. 82
density of states at the Fermi level: 0.714 states/eV per atom
formation energy from the elements: -0.685 eV/atom
calculated total energy: -5.262 eV/atom